(1)
A plane-wave DFT calculation with GGA-PBE was carried out for an optimized crystal structure of Ca2ReNi.

Cell lengths 6.209, 6.209, 6.209 Å; angles 100.85, 100.85, 128.58 degrees
Element x y z (fractional)
Ca1 0.081 0.125 0.456
Ca2 0.375 0.919 0.044
Ca3 0.669 0.625 0.544
Ca4 0.875 0.331 0.956
Re1 0.250 0.750 0.500
Re2 0.500 0.500 0.000
Ni1 0.000 0.000 0.000
Ni2 0.750 0.250 0.500

=====

(2)
A plane-wave DFT calculation with GGA-PBE was carried out for an optimized crystal structure of Ca2ReNi.

Cell lengths 2.895, 3.045, 8.763 Å; angles 90.00, 90.00, 90.00 degrees
Element x y z (fractional)
Ca1 0.000 0.000 0.227
Ca2 0.000 0.000 0.773
Re1 0.500 0.500 0.500
Ni1 0.500 0.500 0.000

=====

| no. | relative energy among the computed polymorphs (eV per atom) |
| --- | --- |
| 1 | 0.583 |
| 2 | 0.210 |